(1)
DFT (GGA-PBE) results for an optimized crystal structure of LaBe2Pb.

Results
**M_tot**: 0.00 μB per formula unit
**DOS(E_F)**: 1.71 states/eV/f.u.
**Formation energy**: 0.2796 eV per atom
**Volume**: 20.20 Å³/atom
**Mass density**: 7.5 Mg/m³

extended XYZ file:
```
4
Lattice="-1.917 2.172 -1.497 -0.649 -2.183 -2.335 -5.957 -2.504 3.996" Properties=species:S:1:pos:R:3 pbc="T T T"
Be -2.290 -0.428 -1.241
Pb -6.121 -2.038 1.329
Be -0.397 -0.167 0.266
La -2.695 -1.133 1.808
```

(2)
DFT (GGA-PBE) results for an optimized crystal structure of La2BePb.

Results
**M_tot**: 0.00 μB per formula unit
**DOS(E_F)**: 2.29 states/eV/f.u.
**Formation energy**: -0.1573 eV per atom
**Volume**: 27.66 Å³/atom
**Mass density**: 7.4 Mg/m³

extended XYZ file:
```
4
Lattice="3.731 -0.016 0.000 0.017 3.731 0.000 0.000 0.000 7.950" Properties=species:S:1:pos:R:3 pbc="T T T"
Pb 1.874 1.857 1.988
Be 1.874 1.857 5.963
La 0.000 0.000 7.683
La 0.000 0.000 4.242
```

(3)
DFT (GGA-PBE) results for an optimized crystal structure of LaBe2Pb2.

Results
**M_tot**: 0.00 μB per formula unit
**DOS(E_F)**: 2.07 states/eV/f.u.
**Formation energy**: 0.0796 eV per atom
**Volume**: 22.43 Å³/atom
**Mass density**: 8.5 Mg/m³

extended XYZ file:
```
5
Lattice="4.377 0.000 0.000 0.000 4.377 0.000 2.189 2.189 5.854" Properties=species:S:1:pos:R:3 pbc="T T T"
Be 4.377 2.189 2.927
Pb 2.189 2.189 1.576
La 0.000 0.000 0.000
Be 2.189 4.377 2.927
Pb 4.377 4.377 4.278
```

(4)
DFT (GGA-PBE) results for an optimized crystal structure of LaBe2Pb.

Results
**M_tot**: 0.00 μB per formula unit
**DOS(E_F)**: 2.22 states/eV/f.u.
**Formation energy**: 0.4741 eV per atom
**Volume**: 21.85 Å³/atom
**Mass density**: 6.9 Mg/m³

extended XYZ file:
```
4
Lattice="4.986 0.003 0.000 0.024 4.986 0.000 -2.505 -2.494 3.516" Properties=species:S:1:pos:R:3 pbc="T T T"
La 2.505 2.494 0.000
Be 0.012 2.493 1.758
Be 0.000 0.000 0.000
Pb 2.493 0.001 1.758
```